Arrangement P

# KScSn, optimized geometry, DFT PBE
data_KScSn
_chemical_formula_sum 'K4 Sc4 Sn4'
_cell_length_a 7.249
_cell_length_b 5.019
_cell_length_c 10.037
_cell_angle_alpha 90.00
_cell_angle_beta 90.00
_cell_angle_gamma 90.00
_symmetry_space_group_name_H-M 'P n m a'
_symmetry_Int_Tables_number 62
loop_
_symmetry_equiv_pos_as_xyz
'x,y,z'
'-x,-y,-z'
'-x+1/2,-y,z+1/2'
'x+1/2,y,-z+1/2'
'x+1/2,-y+1/2,-z+1/2'
'-x+1/2,y+1/2,z+1/2'
'-x,y+1/2,-z'
'x,-y+1/2,z'
loop_
_atom_site_label
_atom_site_type_symbol
_atom_site_fract_x
_atom_site_fract_y
_atom_site_fract_z
K1 K 0.133 0.250 0.042
Sc1 Sc 0.063 0.250 0.664
Sn1 Sn 0.154 0.250 0.369
# - Magnetic moment: 0.00 μB/cell

Arrangement Q

# KScSn, optimized geometry, DFT PBE
data_KScSn
_chemical_formula_sum 'K2 Sc2 Sn2'
_cell_length_a 3.423
_cell_length_b 4.281
_cell_length_c 13.913
_cell_angle_alpha 90.00
_cell_angle_beta 90.97
_cell_angle_gamma 90.00
_symmetry_space_group_name_H-M 'P 1 m 1'
_symmetry_Int_Tables_number 6
loop_
_symmetry_equiv_pos_as_xyz
'x,y,z'
'x,-y,z'
loop_
_atom_site_label
_atom_site_type_symbol
_atom_site_fract_x
_atom_site_fract_y
_atom_site_fract_z
K1 K 0.000 0.000 0.000
K2 K 0.449 0.500 0.291
Sc1 Sc 0.965 0.000 0.504
Sc2 Sc 0.981 0.000 0.728
Sn1 Sn 0.472 0.500 0.602
Sn2 Sn 0.488 0.500 0.830
# - Magnetic moment: 0.48 μB/cell

Arrangement R

# KScSn, optimized geometry, DFT PBE
data_KScSn
_chemical_formula_sum 'K2 Sc2 Sn2'
_cell_length_a 6.5075
_cell_length_b 6.5075
_cell_length_c 10.8324
_cell_angle_alpha 90.00
_cell_angle_beta 90.00
_cell_angle_gamma 120.00
_symmetry_space_group_name_H-M 'P 63/m m c'
_symmetry_Int_Tables_number 194
_symmetry_space_group_name_Hall '-P 6c 2c'
loop_
_atom_site_label
_atom_site_type_symbol
_atom_site_fract_x
_atom_site_fract_y
_atom_site_fract_z
K1 K 0.3333 0.6667 0.2500
Sc1 Sc 0.0000 0.0000 0.2500
Sn1 Sn 0.0000 0.0000 0.0000
# - Magnetic moment: 0.05 μB/cell

Most stable: arrangement Q

Arrangement P

# K3ScSn, optimized geometry, DFT PBE
data_K3ScSn
_chemical_formula_sum 'K3 Sc1 Sn1'
_cell_length_a 6.645
_cell_length_b 6.645
_cell_length_c 6.645
_cell_angle_alpha 90.00
_cell_angle_beta 90.00
_cell_angle_gamma 90.00
_symmetry_space_group_name_H-M 'P m -3 m'
_symmetry_Int_Tables_number 221
_symmetry_space_group_name_Hall '-P 4 2 3'
loop_
_atom_site_label
_atom_site_type_symbol
_atom_site_fract_x
_atom_site_fract_y
_atom_site_fract_z
K1 K 0.000 0.000 0.500
Sc1 Sc 0.000 0.000 0.000
Sn1 Sn 0.500 0.500 0.500
# - Magnetic moment: 0.02 μB/cell

Arrangement Q

# K3ScSn, optimized geometry, DFT PBE
data_K3ScSn
_chemical_formula_sum 'K3 Sc1 Sn1'
_cell_length_a 6.744
_cell_length_b 6.744
_cell_length_c 6.744
_cell_angle_alpha 90.00
_cell_angle_beta 90.00
_cell_angle_gamma 90.00
_symmetry_space_group_name_H-M 'P m -3 m'
_symmetry_Int_Tables_number 221
_symmetry_space_group_name_Hall '-P 4 2 3'
loop_
_atom_site_label
_atom_site_type_symbol
_atom_site_fract_x
_atom_site_fract_y
_atom_site_fract_z
K1 K 0.000 0.000 0.500
Sc1 Sc 0.500 0.500 0.500
Sn1 Sn 0.000 0.000 0.000
# - Magnetic moment: 0.00 μB/cell

Most stable: arrangement Q